(1)
Below is crystalline Na2BeSb at its relaxed geometry, with properties calculated at the PBE level.

- energy relative to the elements, uncorrected (meV per atom) = 312
- DOS at the Fermi energy (states/eV/f.u.) = 1.78
- total magnetization (μB/cell) = 0.000
- theoretical density (Mg/m³) = 3.23

abc: 7.134 7.134 7.134
angles: 90.00 90.00 90.00
Space group Fm-3m (No. 225)
Unique sites:
Na 0.250 0.250 0.250
Be 0.000 0.000 0.000
Sb 0.000 0.000 0.500

(2)
Below is crystalline NaBe2Sb at its relaxed geometry, with properties calculated at the PBE level.

- energy relative to the elements, uncorrected (meV per atom) = 755
- DOS at the Fermi energy (states/eV/f.u.) = 0.04
- total magnetization (μB/cell) = 0.000
- theoretical density (Mg/m³) = 2.36

abc: 6.565 6.565 10.615
angles: 90.00 90.00 90.00
Space group I-42d (No. 122)
Unique sites:
Na 0.000 0.000 0.000
Be 0.162 0.250 0.625
Sb 0.000 0.000 0.500

(3)
Below is crystalline Na2BeSb2 at its relaxed geometry, with properties calculated at the PBE level.

- energy relative to the elements, uncorrected (meV per atom) = -72
- DOS at the Fermi energy (states/eV/f.u.) = 0.18
- total magnetization (μB/cell) = 0.000
- theoretical density (Mg/m³) = 3.98

abc: 6.953 6.953 5.152
angles: 90.00 90.00 90.00
Space group P4/mbm (No. 127)
Unique sites:
Na 0.166 0.334 0.000
Be 0.000 0.000 0.500
Sb 0.151 0.651 0.500

Please write out number 1 again, unchanged.
Below is crystalline Na2BeSb at its relaxed geometry, with properties calculated at the PBE level.

- energy relative to the elements, uncorrected (meV per atom) = 312
- DOS at the Fermi energy (states/eV/f.u.) = 1.78
- total magnetization (μB/cell) = 0.000
- theoretical density (Mg/m³) = 3.23

abc: 7.134 7.134 7.134
angles: 90.00 90.00 90.00
Space group Fm-3m (No. 225)
Unique sites:
Na 0.250 0.250 0.250
Be 0.000 0.000 0.000
Sb 0.000 0.000 0.500